## HfZr3Sb2 (GGA-PBE)

Data for an optimized crystal structure of HfZr3Sb2.

Values from the calculation:
formation energy without anion corrections = -0.584 eV per atom
energy relative to the lowest polymorph listed for this composition = 0.000 eV per atom
raw total energy = -0.5799 Ry per atom
magnetization = 0.00 Bohr magnetons per cell

Cell: 4.0950 4.0950 8.1047 Å, 90.00 90.00 90.00°
Closest atoms and distances in Å follow each position.
Fractional positions:
Zr  0.0000  0.5000  0.6358  5 Sb 2.95-2.99
Sb  0.5000  0.0000  0.7287  7 Zr 2.95-3.00, 2 Hf 3.00
Sb  0.0000  0.5000  0.2713  7 Zr 2.95-3.00, 2 Hf 3.00
Hf  0.5000  0.5000  0.0000  4 Zr 2.90, 4 Sb 3.00
Zr  0.5000  0.0000  0.3642  5 Sb 2.95-2.99
Zr  0.0000  0.0000  0.0000  4 Hf 2.90, 4 Sb 3.00